Record 1
Density functional theory data (PBE) for crystalline YTmCo2Ge2 at its relaxed geometry.

Structure (extended XYZ):
```
6
Lattice="-4.106 -0.442 -0.669 2.130 -2.999 1.994 -1.342 3.145 6.162" Properties=species:S:1:pos:R:3 pbc="T T T"
Y 0.000 0.000 0.000
Co -0.922 0.134 5.576
Co -2.396 -0.430 1.912
Tm -0.671 1.573 3.081
Ge -3.018 1.026 4.765
Ge -0.301 -1.322 2.723
```

Output
The formation energy is -612.3 meV per atom. The calculation puts the volume at 106.84 Å³/cell. For the theoretical density, the calculation gives 8.10 g/cm³.

Record 2
Density functional theory data (PBE) for crystalline Ga4Tc at its relaxed geometry.

Structure (extended XYZ):
```
5
Lattice="4.849 0.000 0.000 0.000 4.849 0.000 0.000 0.000 4.849" Properties=species:S:1:pos:R:3 pbc="T T T"
Ga 0.000 2.424 2.424
Ga 0.000 0.000 0.000
Ga 2.424 0.000 2.424
Ga 2.424 2.424 0.000
Tc 2.424 2.424 2.424
```

Output
The formation energy is 142.9 meV per atom. The calculation puts the volume at 114.01 Å³/cell. For the energy above the lowest structure with this stoichiometry, the calculation gives 361 meV/atom. For the theoretical density, the calculation gives 5.49 g/cm³.

Record 3
Density functional theory data (PBE) for crystalline Ga2SnI at its relaxed geometry.

Structure (extended XYZ):
```
4
Lattice="4.209 0.000 0.000 2.105 3.645 0.000 2.105 1.215 7.509" Properties=species:S:1:pos:R:3 pbc="T T T"
Ga 2.105 1.215 1.460
Ga 2.105 1.215 5.975
Sn 6.314 3.645 7.485
I 4.209 2.430 3.854
```

Output
Its raw formation energy is 0.04 eV/atom. The calculation puts the volume at 115.21 Å³/cell. For the energy above the lowest structure with this stoichiometry, the calculation gives 0 meV/atom. For the theoretical density, the calculation gives 5.55 g/cm³.

Record 4
Density functional theory data (PBE) for crystalline Sm7Er4In at its relaxed geometry.

Structure (extended XYZ):
```
12
Lattice="-6.328 0.821 0.646 0.415 -1.125 5.472 -0.264 10.384 5.012" Properties=species:S:1:pos:R:3 pbc="T T T"
Sm -5.132 9.456 8.056
Sm -3.164 0.410 0.323
Sm -2.510 3.797 6.698
Sm -1.045 0.625 3.073
Sm -3.667 6.284 4.431
Sm -0.226 7.380 4.398
Sm -5.951 2.701 6.732
Er -5.527 6.016 7.384
Er -0.651 4.064 3.746
Er -4.043 2.526 3.685
Er -2.135 7.555 7.444
In 0.000 0.000 0.000
```

Output
The formation energy is 37.2 meV per atom. The calculation puts the volume at 394.99 Å³/cell. For the energy above the lowest structure with this stoichiometry, the calculation gives 0 meV/atom. For the theoretical density, the calculation gives 7.72 g/cm³.

Record 5
Density functional theory data (PBE) for crystalline In2BAuS at its relaxed geometry.

Structure (extended XYZ):
```
5
Lattice="-1.130 -0.508 -5.199 -0.155 -4.027 0.427 -5.220 0.317 1.103" Properties=species:S:1:pos:R:3 pbc="T T T"
B -0.077 -2.014 0.213
S -3.252 -2.109 -1.834
In -0.565 -0.254 -2.599
In -2.610 0.159 0.552
Au 0.000 0.000 0.000
```

Output
Its raw formation energy is 0.39 eV/atom. The calculation puts the volume at 115.75 Å³/cell. For the theoretical density, the calculation gives 6.74 g/cm³.

Record 6
Density functional theory data (PBE) for crystalline YTa2In at its relaxed geometry.

Structure (extended XYZ):
```
4
Lattice="-5.428 -1.434 0.847 -0.993 -5.463 1.181 3.502 4.038 1.913" Properties=species:S:1:pos:R:3 pbc="T T T"
Y -2.568 -0.423 1.887
Ta -0.002 -0.002 0.001
Ta -3.209 -3.447 1.013
In -0.351 -2.437 2.054
```

Output
The formation energy is 226.8 meV per atom. The calculation puts the volume at 86.77 Å³/cell. For the theoretical density, the calculation gives 10.82 g/cm³.

Record 7
Density functional theory data (PBE) for crystalline SmInPb at its relaxed geometry.

Structure (extended XYZ):
```
3
Lattice="3.842 0.000 0.000 0.000 3.842 0.000 -1.921 -1.921 5.825" Properties=species:S:1:pos:R:3 pbc="T T T"
Sm 1.921 1.921 1.293
Pb 0.000 0.000 3.469
In 1.921 1.921 5.140
```

Output
The formation energy is -264.5 meV per atom. The calculation puts the volume at 85.99 Å³/cell. For the energy above the lowest structure with this stoichiometry, the calculation gives 142 meV/atom. For the theoretical density, the calculation gives 9.12 g/cm³.

Record 8
Density functional theory data (PBE) for crystalline Tm4SiAs3 at its relaxed geometry.

Structure (extended XYZ):
```
8
Lattice="5.745 0.000 0.000 0.000 5.745 0.000 0.000 0.000 5.745" Properties=species:S:1:pos:R:3 pbc="T T T"
As 2.873 2.873 0.000
As 2.873 0.000 2.873
As 0.000 2.873 2.873
Tm 0.000 0.000 2.873
Tm 2.873 2.873 2.873
Tm 0.000 2.873 0.000
Tm 2.873 0.000 0.000
Si 0.000 0.000 0.000
```

Output
Its raw formation energy is -1.23 eV/atom. The calculation puts the volume at 189.64 Å³/cell. For the theoretical density, the calculation gives 8.13 g/cm³.

Record 9
Density functional theory data (PBE) for crystalline Sr2CuO3 at its relaxed geometry.

Structure (extended XYZ):
```
12
Lattice="2.744 -6.621 0.000 2.744 6.621 0.000 0.000 0.000 5.599" Properties=species:S:1:pos:R:3 pbc="T T T"
Sr 2.744 1.795 4.199
Sr 2.744 -5.137 1.400
Sr 2.744 -1.795 1.400
Sr 2.744 5.137 4.199
O 2.744 5.697 1.400
O 1.372 3.310 2.799
O 1.372 3.310 0.000
O 1.372 -3.310 0.000
O 1.372 -3.310 2.799
O 2.744 -5.697 4.199
Cu 2.744 -3.498 4.199
Cu 2.744 3.498 1.400
```

Output
Its raw formation energy is -1.81 eV/atom. The calculation puts the volume at 203.42 Å³/cell. For the energy above the lowest structure with this stoichiometry, the calculation gives 276 meV/atom. For the theoretical density, the calculation gives 4.68 g/cm³.

Record 10
Density functional theory data (PBE) for crystalline MgTcPt2 at its relaxed geometry.

Structure (extended XYZ):
```
4
Lattice="3.284 0.000 0.000 0.000 3.284 0.000 0.000 0.000 5.856" Properties=species:S:1:pos:R:3 pbc="T T T"
Pt 1.642 1.642 1.546
Pt 0.000 0.000 5.810
Tc 0.000 0.000 2.811
Mg 1.642 1.642 4.474
```

Output
The formation energy is -122.3 meV per atom. The calculation puts the volume at 63.16 Å³/cell. For the theoretical density, the calculation gives 13.47 g/cm³.

Record 11
Density functional theory data (PBE) for crystalline ReSb2Pt at its relaxed geometry.

Structure (extended XYZ):
```
4
Lattice="5.252 0.001 0.004 -2.578 4.770 0.023 0.097 1.190 3.178" Properties=species:S:1:pos:R:3 pbc="T T T"
Sb 0.000 0.000 0.000
Sb 2.675 0.596 1.591
Re 1.337 2.386 0.013
Pt -1.240 2.980 1.600
```

Output
Its raw formation energy is 0.65 eV/atom. The calculation puts the volume at 79.47 Å³/cell. For the energy above the lowest structure with this stoichiometry, the calculation gives 494 meV/atom. For the theoretical density, the calculation gives 13.06 g/cm³.

Record 12
Density functional theory data (PBE) for crystalline SrLa2Ir at its relaxed geometry.

Structure (extended XYZ):
```
8
Lattice="9.138 0.000 0.000 0.000 9.138 0.000 4.569 4.569 3.384" Properties=species:S:1:pos:R:3 pbc="T T T"
Sr 4.569 9.138 1.692
Sr 4.569 4.569 0.000
Ir 9.138 4.569 1.692
Ir 0.000 0.000 0.000
La 7.726 2.285 0.846
La 11.423 12.295 2.538
La 6.854 5.981 2.538
La 1.412 6.854 0.846
```

Output
The formation energy is -208.0 meV per atom. The calculation puts the volume at 282.62 Å³/cell. For the energy above the lowest structure with this stoichiometry, the calculation gives 256 meV/atom. For the theoretical density, the calculation gives 6.55 g/cm³.

Record 13
Density functional theory data (PBE) for crystalline CaRh2 at its relaxed geometry.

Structure (extended XYZ):
```
6
Lattice="-8.821 -0.830 4.085 8.044 -1.841 -5.205 1.747 -1.926 3.382" Properties=species:S:1:pos:R:3 pbc="T T T"
Rh -7.072 -1.390 4.208
Rh -0.651 -1.775 0.671
Rh 8.043 -3.207 -1.946
Rh 1.622 -2.822 1.591
Ca 5.563 -2.148 -2.752
Ca -4.593 -2.450 5.014
```

Output
The formation energy is 118.5 meV per atom. The calculation puts the volume at 123.34 Å³/cell. For the theoretical density, the calculation gives 6.62 g/cm³.